Entry 1:
Below is a geometry-optimized K4SbTe4 structure, with properties calculated at the PBE level.

Output
Space-group type = I-42m (121)
Formation energy from raw total energies = -6.1 eV per formula unit
Magnetization = 0.51 μB per cell

Cell: 9.150 9.150 9.150 Å, 125.97 125.97 79.93°
Sites, in units of the cell vectors:
K 0.000 0.500 0.500
K 0.197 0.197 0.000
K 0.500 0.000 0.500
K 0.803 0.803 0.000
Sb 0.500 0.500 0.000
Te 0.180 0.180 0.603
Te 0.423 0.820 0.000
Te 0.577 0.577 0.397
Te 0.820 0.423 0.000

***

Entry 2:
Below is a geometry-optimized RbNiPd structure, with properties calculated at the PBE level.

Output
Space-group type = Cm (8)
Calculated formation energy = 1.1 eV per formula unit
Magnetization = 0.01 μB per cell
Offset from the most stable computed form = 167.8 meV per atom

Cell: 6.398 6.398 2.980 Å, 103.13 103.13 35.87°
Sites, in units of the cell vectors:
Rb 0.000 0.000 0.000
Ni 0.730 0.730 0.729
Pd 0.274 0.274 0.272

***

Entry 3:
Below is a geometry-optimized Dy3Cu2Pd5 structure, with properties calculated at the PBE level.

Output
Space-group type = P4/mbm (127)
Calculated formation energy = -7.1 eV per formula unit
Magnetization = 0.00 μB per cell

Cell: 9.638 9.638 3.955 Å, 90.00 90.00 90.00°
Sites, in units of the cell vectors:
Dy 0.000 0.000 0.000
Dy 0.173 0.327 0.000
Dy 0.327 0.827 0.000
Dy 0.500 0.500 0.000
Dy 0.673 0.173 0.000
Dy 0.827 0.673 0.000
Cu 0.120 0.620 0.000
Cu 0.380 0.120 0.000
Cu 0.620 0.880 0.000
Cu 0.880 0.380 0.000
Pd 0.000 0.500 0.500
Pd 0.074 0.789 0.500
Pd 0.211 0.074 0.500
Pd 0.289 0.574 0.500
Pd 0.426 0.289 0.500
Pd 0.500 0.000 0.500
Pd 0.574 0.711 0.500
Pd 0.711 0.426 0.500
Pd 0.789 0.926 0.500
Pd 0.926 0.211 0.500

***

Entry 4:
Below is a geometry-optimized MnSBr2 structure, with properties calculated at the PBE level.

Output
Space-group type = I-42d (122)
Formation energy from raw total energies = 2.7 eV per formula unit
Magnetization = 1.97 μB per cell
Offset from the most stable computed form = 217.5 meV per atom

Cell: 6.521 6.521 6.521 Å, 118.53 118.53 92.57°
Sites, in units of the cell vectors:
Mn 0.000 0.000 0.000
Mn 0.750 0.250 0.500
S 0.250 0.750 0.500
S 0.500 0.500 0.000
Br 0.042 0.625 0.917
Br 0.375 0.292 0.417
Br 0.708 0.125 0.083
Br 0.875 0.958 0.583

***

Entry 5:
Below is a geometry-optimized Ac2PaGe3 structure, with properties calculated at the PBE level.

Output
Space-group type = C2/c (15)
Calculated formation energy = -3.0 eV per formula unit
Magnetization = 0.00 μB per cell

Cell: 7.688 7.688 8.871 Å, 106.77 106.77 47.77°
Sites, in units of the cell vectors:
Ac 0.173 0.173 0.087
Ac 0.173 0.173 0.587
Ac 0.827 0.827 0.413
Ac 0.827 0.827 0.913
Pa 0.500 0.500 0.250
Pa 0.500 0.500 0.750
Ge 0.001 0.999 0.750
Ge 0.358 0.359 0.929
Ge 0.359 0.358 0.429
Ge 0.641 0.642 0.571
Ge 0.642 0.641 0.071
Ge 0.999 0.001 0.250

***

Entry 6:
Below is a geometry-optimized Cd2Ga2Tc structure, with properties calculated at the PBE level.

Output
Space-group type = P4/mbm (127)
Calculated formation energy = 1.4 eV per formula unit
Magnetization = 0.00 μB per cell

Cell: 6.795 6.795 4.006 Å, 90.00 90.00 90.00°
Sites, in units of the cell vectors:
Cd 0.163 0.337 0.000
Cd 0.337 0.837 0.000
Cd 0.663 0.163 0.000
Cd 0.837 0.663 0.000
Ga 0.147 0.647 0.500
Ga 0.353 0.147 0.500
Ga 0.647 0.853 0.500
Ga 0.853 0.353 0.500
Tc 0.000 0.000 0.500
Tc 0.500 0.500 0.500

***

Entry 7:
Below is a geometry-optimized LiCuPd structure, with properties calculated at the PBE level.

Output
Space-group type = P3m1 (156)
Calculated formation energy = -0.8 eV per formula unit
Magnetization = 0.00 μB per cell
Offset from the most stable computed form = 0.0 meV per atom

Cell: 4.266 4.266 5.149 Å, 90.00 90.00 120.00°
Sites, in units of the cell vectors:
Li 0.000 0.000 0.000
Li 0.333 0.667 0.161
Cu 0.000 0.000 0.505
Cu 0.667 0.333 0.828
Pd 0.333 0.667 0.660
Pd 0.667 0.333 0.328

***

Entry 8:
Below is a geometry-optimized NaCoMo3 structure, with properties calculated at the PBE level.

Output
Space-group type = Pm-3m (221)
Calculated formation energy = 14.3 eV per formula unit
Magnetization = 0.00 μB per cell
Offset from the most stable computed form = 1465.0 meV per atom

Cell: 4.434 4.434 4.434 Å, 90.00 90.00 90.00°
Sites, in units of the cell vectors:
Na 0.000 0.000 0.000
Co 0.500 0.500 0.500
Mo 0.000 0.000 0.500
Mo 0.000 0.500 0.000
Mo 0.500 0.000 0.000

***

| no. | Fermi-level density of states (states/eV/cell) |
| --- | --- |
| 1 | 5.72 |
| 2 | 3.58 |
| 3 | 8.47 |
| 4 | 9.73 |
| 5 | 14.88 |
| 6 | 7.47 |
| 7 | 2.01 |
| 8 | 7.89 |